The following is a DFT calculation (GGA-PBE) of a relaxed structure of Na2Tl5In.

**Calculated formation energy**: -0.0684 eV per atom
**Total magnetic moment**: 0.0 Bohr magnetons per cell
**Density of states at the Fermi level**: 4.292 states/eV/f.u.
**Space group**: Pbam (55)

a b c (Å): 5.1584 6.5768 13.4419
angles (deg): 90.00 90.00 90.00
Closest atoms and distances in Å follow each position.
Atoms (fractional coordinates):
Na 0.5000 0.2746 0.6301  10 Tl 3.29-3.50, 2 In 3.60
Na 0.5000 0.7254 0.3699  10 Tl 3.29-3.50, 2 In 3.60
Na 0.5000 0.2254 0.1301  10 Tl 3.29-3.50, 2 In 3.60
Na 0.5000 0.7746 0.8699  10 Tl 3.29-3.50, 2 In 3.60
Tl 0.0000 0.0000 0.0000  2 In 3.29, 6 Tl 3.42-3.53, 4 Na 3.45
Tl 0.0000 0.5000 0.5000  2 In 3.29, 6 Tl 3.42-3.53, 4 Na 3.45
Tl 0.0000 0.5290 0.7541  7 Tl 3.29-3.55, 1 In 3.31, 4 Na 3.42-3.50
Tl 0.0000 0.4710 0.2459  7 Tl 3.29-3.55, 1 In 3.31, 4 Na 3.42-3.50
Tl 0.0000 0.9710 0.2541  7 Tl 3.29-3.55, 1 In 3.31, 4 Na 3.42-3.50
Tl 0.0000 0.0290 0.7459  7 Tl 3.29-3.55, 1 In 3.31, 4 Na 3.42-3.50
Tl 0.5000 0.2750 0.8822  4 Na 3.29-3.39, 2 In 3.37, 6 Tl 3.52-3.55
Tl 0.5000 0.7250 0.1178  4 Na 3.29-3.39, 2 In 3.37, 6 Tl 3.52-3.55
Tl 0.5000 0.2250 0.3822  4 Na 3.29-3.39, 2 In 3.37, 6 Tl 3.52-3.55
Tl 0.5000 0.7750 0.6178  4 Na 3.29-3.39, 2 In 3.37, 6 Tl 3.52-3.55
In 0.0000 0.0000 0.5000  8 Tl 3.29-3.37, 4 Na 3.60
In 0.0000 0.5000 0.0000  8 Tl 3.29-3.37, 4 Na 3.60


The following is a DFT calculation (GGA-PBE) of a relaxed structure of Na2Tl2In3.

**Calculated formation energy**: -0.0798 eV per atom
**Polymorph energy (0 for the lowest one)**: 0 meV per atom
**Total magnetic moment**: 0.0 Bohr magnetons per cell
**Density of states at the Fermi level**: 3.100 states/eV/f.u.
**Space group**: C2/m (12)

a b c (Å): 4.8860 5.6980 7.8003
angles (deg): 100.77 90.00 115.39
Closest atoms and distances in Å follow each position.
Atoms (fractional coordinates):
Na 0.9245 0.8491 0.2807  4 Tl 3.29-3.33, 7 In 3.37-3.47, 1 Na 3.45
Na 0.0755 0.1509 0.7193  4 Tl 3.29-3.33, 7 In 3.37-3.47, 1 Na 3.45
Tl 0.7928 0.5857 0.8549  6 In 3.29-3.50, 4 Na 3.29-3.33, 2 Tl 3.56
Tl 0.2072 0.4143 0.1451  6 In 3.29-3.50, 4 Na 3.29-3.33, 2 Tl 3.56
In 0.5000 0.0000 0.0000  6 Tl 3.29-3.43, 2 In 3.43, 4 Na 3.47
In 0.6432 0.2864 0.4380  4 In 3.29-3.43, 3 Tl 3.30-3.50, 5 Na 3.37-3.45
In 0.3568 0.7136 0.5620  4 In 3.29-3.43, 3 Tl 3.30-3.50, 5 Na 3.37-3.45


The following is a DFT calculation (GGA-PBE) of a relaxed structure of NaTl5In3.

**Calculated formation energy**: 0.0958 eV per atom
**Total magnetic moment**: 0.0 Bohr magnetons per cell
**Density of states at the Fermi level**: 3.276 states/eV/f.u.
**Space group**: C2/m (12)

a b c (Å): 10.7536 10.7536 8.2691
angles (deg): 58.57 58.57 48.48
Closest atoms and distances in Å follow each position.
Atoms (fractional coordinates):
Na 0.1532 0.1532 0.5619  3 In 3.11-3.32, 4 Tl 3.14-3.34
Na 0.8468 0.8468 0.4381  3 In 3.11-3.32, 4 Tl 3.14-3.34
Tl 0.8988 0.4099 0.2672  4 In 3.25-3.39, 1 Na 3.31, 3 Tl 3.34-3.50
Tl 0.3229 0.6771 0.0000  3 In 2.85-3.17, 1 Tl 3.13
Tl 0.8246 0.8246 0.0666  2 In 3.16-3.51, 1 Na 3.34, 5 Tl 3.40-3.50
Tl 0.3379 0.3379 0.4354  2 In 3.12-3.22, 1 Na 3.14, 3 Tl 3.34-3.48
Tl 0.6621 0.6621 0.5646  2 In 3.12-3.22, 1 Na 3.14, 3 Tl 3.34-3.48
Tl 0.1754 0.1754 0.9334  2 In 3.16-3.51, 1 Na 3.34, 5 Tl 3.40-3.50
Tl 0.4099 0.8988 0.2672  4 In 3.25-3.39, 1 Na 3.31, 3 Tl 3.34-3.50
Tl 0.6771 0.3229 0.0000  3 In 2.85-3.17, 1 Tl 3.13
Tl 0.1012 0.5901 0.7328  4 In 3.25-3.39, 1 Na 3.31, 3 Tl 3.34-3.50
Tl 0.5901 0.1012 0.7328  4 In 3.25-3.39, 1 Na 3.31, 3 Tl 3.34-3.50
In 0.6924 0.6924 0.9078  1 In 3.04, 5 Tl 3.22-3.39, 1 Na 3.29
In 0.5228 0.5228 0.2998  2 In 2.89-3.04, 3 Tl 3.12-3.17
In 0.0000 0.0000 0.0000  4 Tl 2.85-3.16, 2 Na 3.11
In 0.0000 0.0000 0.5000  2 Na 3.32, 4 Tl 3.36
In 0.3076 0.3076 0.0922  1 In 3.04, 5 Tl 3.22-3.39, 1 Na 3.29
In 0.4772 0.4772 0.7002  2 In 2.89-3.04, 3 Tl 3.12-3.17


- Number 2 is which compound?
  Na2Tl2In3